{"formula": "Tl3Ni2IrO6", "functional": "PBE+U", "state": "optimized geometry", "volume_a3_per_cell": 167, "e_tot_ev_per_cell": -59.1, "lattice": [[5.5051, -0.0028, 0.0027], [-2.7537, 4.7669, 0.0027], [-0.9139, -1.5824, 6.3748]], "species": ["O", "O", "O", "O", "O", "O", "Tl", "Tl", "Tl", "Ni", "Ni", "Ir"], "frac_coords": [[0.2617, 0.2617, 0.8378], [0.0538, 0.3695, 0.1574], [0.7383, 0.7383, 0.1622], [0.9462, 0.6305, 0.8426], [0.3695, 0.0538, 0.1574], [0.6305, 0.9462, 0.8426], [0.8317, 0.1683, 0.5000], [0.1683, 0.8317, 0.5000], [0.5000, 0.5000, 0.5000], [0.6668, 0.3332, 0.0000], [0.3332, 0.6668, 0.0000], [0.0000, 0.0000, 0.0000]]}